# 1
{
  "formula": "BeCr2F2",
  "functional": "GGA+U",
  "state": "optimized geometry",
  "final_energy_ev_per_atom": -5.25,
  "lattice_angstrom": [[3.461, 0.000, 0.000], [0.000, 3.461, 0.000], [0.000, 0.000, 11.272]],
  "species": ["Be", "Be", "Cr", "Cr", "Cr", "Cr", "F", "F", "F", "F"],
  "frac_coords": [[0.000, 0.000, 0.000], [0.500, 0.500, 0.500], [0.000, 0.000, 0.373], [0.000, 0.000, 0.627], [0.500, 0.500, 0.127], [0.500, 0.500, 0.873], [0.000, 0.500, 0.250], [0.000, 0.500, 0.750], [0.500, 0.000, 0.250], [0.500, 0.000, 0.750]]
}


# 2
{
  "formula": "Be2CrF8",
  "functional": "GGA+U",
  "state": "optimized geometry",
  "final_energy_ev_per_atom": -5.36,
  "lattice_angstrom": [[5.646, -2.680, 0.000], [5.646, 2.680, 0.000], [-0.268, 0.000, 4.682]],
  "species": ["Be", "Be", "Cr", "F", "F", "F", "F", "F", "F", "F", "F"],
  "frac_coords": [[0.167, 0.167, 0.122], [0.833, 0.833, 0.878], [0.000, 0.000, 0.500], [0.119, 0.119, 0.790], [0.129, 0.691, 0.714], [0.293, 0.293, 0.165], [0.309, 0.871, 0.286], [0.691, 0.129, 0.714], [0.707, 0.707, 0.835], [0.871, 0.309, 0.286], [0.881, 0.881, 0.210]]
}


# 3
{
  "formula": "Be2CrF6",
  "functional": "GGA+U",
  "state": "optimized geometry",
  "final_energy_ev_per_atom": -5.90,
  "lattice_angstrom": [[5.119, -4.447, 0.000], [5.119, 4.447, 0.000], [-1.928, 0.000, 4.847]],
  "species": ["Be", "Be", "Be", "Be", "Cr", "Cr", "F", "F", "F", "F", "F", "F", "F", "F", "F", "F", "F", "F"],
  "frac_coords": [[0.120, 0.291, 0.221], [0.291, 0.120, 0.721], [0.709, 0.880, 0.279], [0.880, 0.709, 0.779], [0.382, 0.618, 0.750], [0.618, 0.382, 0.250], [0.096, 0.604, 0.821], [0.155, 0.162, 0.443], [0.162, 0.155, 0.943], [0.293, 0.459, 0.348], [0.396, 0.904, 0.679], [0.459, 0.293, 0.848], [0.541, 0.707, 0.152], [0.604, 0.096, 0.321], [0.707, 0.541, 0.652], [0.838, 0.845, 0.057], [0.845, 0.838, 0.557], [0.904, 0.396, 0.179]]
}


# 4
{
  "formula": "BeCr3F",
  "functional": "GGA+U",
  "state": "optimized geometry",
  "final_energy_ev_per_atom": -5.29,
  "lattice_angstrom": [[4.414, 0.000, 0.000], [0.000, 4.414, 0.000], [0.000, 0.000, 4.414]],
  "species": ["Be", "Cr", "Cr", "Cr", "F"],
  "frac_coords": [[0.000, 0.000, 0.000], [0.000, 0.500, 0.500], [0.500, 0.000, 0.500], [0.500, 0.500, 0.000], [0.500, 0.500, 0.500]]
}